# 1
First-principles (PBE) data for a relaxed structure of Pa2FeOs, as listed in Alexandria.

Values from the calculation:
Its space group is Fm-3m. Its energy of formation is -0.28 eV per formula unit. The density of states at the Fermi level is 26.667 states/eV per cell.

Unit cell a=6.799 b=6.799 c=6.799 alpha=90.00 beta=90.00 gamma=90.00
Element x y z (fractional)
Pa: 0.250 0.250 0.250
Pa: 0.250 0.250 0.750
Pa: 0.250 0.750 0.250
Pa: 0.250 0.750 0.750
Pa: 0.750 0.250 0.250
Pa: 0.750 0.250 0.750
Pa: 0.750 0.750 0.250
Pa: 0.750 0.750 0.750
Fe: 0.000 0.000 0.000
Fe: 0.000 0.500 0.500
Fe: 0.500 0.000 0.500
Fe: 0.500 0.500 0.000
Os: 0.000 0.000 0.500
Os: 0.000 0.500 0.000
Os: 0.500 0.000 0.000
Os: 0.500 0.500 0.500



# 2
First-principles (PBE) data for a relaxed structure of ReNiHg2, as listed in Alexandria.

Values from the calculation:
Its space group is I4/mmm. Its energy of formation is 3.56 eV per formula unit. The density of states at the Fermi level is 6.117 states/eV per cell.

Unit cell a=4.228 b=4.228 c=7.709 alpha=90.00 beta=90.00 gamma=90.00
Element x y z (fractional)
Re: 0.000 0.000 0.000
Re: 0.500 0.500 0.500
Ni: 0.000 0.000 0.500
Ni: 0.500 0.500 0.000
Hg: 0.000 0.500 0.250
Hg: 0.000 0.500 0.750
Hg: 0.500 0.000 0.250
Hg: 0.500 0.000 0.750



# 3
First-principles (PBE) data for a relaxed structure of SmErSnRh, as listed in Alexandria.

Values from the calculation:
Its space group is F-43m. Its energy of formation is -2.51 eV per formula unit. The density of states at the Fermi level is 10.043 states/eV per cell.

Unit cell a=7.260 b=7.260 c=7.260 alpha=90.00 beta=90.00 gamma=90.00
Element x y z (fractional)
Sm: 0.000 0.000 0.000
Sm: 0.000 0.500 0.500
Sm: 0.500 0.000 0.500
Sm: 0.500 0.500 0.000
Er: 0.000 0.000 0.500
Er: 0.000 0.500 0.000
Er: 0.500 0.000 0.000
Er: 0.500 0.500 0.500
Sn: 0.250 0.250 0.250
Sn: 0.250 0.750 0.750
Sn: 0.750 0.250 0.750
Sn: 0.750 0.750 0.250
Rh: 0.250 0.250 0.750
Rh: 0.250 0.750 0.250
Rh: 0.750 0.250 0.250
Rh: 0.750 0.750 0.750



# 4
First-principles (PBE) data for a relaxed structure of RbCoOs, as listed in Alexandria.

Values from the calculation:
Its space group is Imma. Its energy of formation is 3.44 eV per formula unit. The density of states at the Fermi level is 15.921 states/eV per cell.

Unit cell a=4.859 b=5.701 c=9.421 alpha=90.00 beta=90.00 gamma=90.00
Element x y z (fractional)
Rb: 0.000 0.250 0.129
Rb: 0.000 0.750 0.871
Rb: 0.500 0.250 0.371
Rb: 0.500 0.750 0.629
Co: 0.000 0.000 0.500
Co: 0.000 0.500 0.500
Co: 0.500 0.000 0.000
Co: 0.500 0.500 0.000
Os: 0.000 0.250 0.697
Os: 0.000 0.750 0.303
Os: 0.500 0.250 0.803
Os: 0.500 0.750 0.197



# 5
First-principles (PBE) data for a relaxed structure of ZrU3Ta2C6, as listed in Alexandria.

Values from the calculation:
Its space group is C2/m. Its energy of formation is -5.85 eV per formula unit. The density of states at the Fermi level is 9.987 states/eV per cell.

Unit cell a=5.714 b=5.714 c=5.941 alpha=99.23 beta=99.23 gamma=119.97
Element x y z (fractional)
Zr: 0.000 0.000 0.000
U: 0.164 0.836 0.500
U: 0.500 0.500 0.500
U: 0.836 0.164 0.500
Ta: 0.333 0.667 0.000
Ta: 0.667 0.333 0.000
C: 0.078 0.421 0.232
C: 0.267 0.267 0.770
C: 0.421 0.078 0.232
C: 0.579 0.922 0.768
C: 0.733 0.733 0.230
C: 0.922 0.579 0.768



# 6
First-principles (PBE) data for a relaxed structure of TbPrDy2, as listed in Alexandria.

Values from the calculation:
Its space group is R3m. Its energy of formation is 0.08 eV per formula unit. The density of states at the Fermi level is 16.697 states/eV per cell.

Unit cell a=3.603 b=3.603 c=34.967 alpha=90.00 beta=90.00 gamma=120.00
Element x y z (fractional)
Tb: 0.000 0.000 0.000
Tb: 0.333 0.667 0.667
Tb: 0.667 0.333 0.333
Pr: 0.000 0.000 0.166
Pr: 0.333 0.667 0.833
Pr: 0.667 0.333 0.499
Dy: 0.000 0.000 0.415
Dy: 0.000 0.000 0.585
Dy: 0.333 0.667 0.081
Dy: 0.333 0.667 0.252
Dy: 0.667 0.333 0.748
Dy: 0.667 0.333 0.918